1.
La4Nd3Y5: relaxed, GGA-PBE.

magnetization: 0.0000 μB per atom
DOS at the Fermi energy: 19.2 states/eV/f.u.
ΔH_f (0 K): 0.019 eV/atom

a b c (Å): 6.345 7.301 8.962
angles (deg): 90.36 90.13 90.02
Fractional positions:
La 0.169 0.250 0.170
La 0.329 0.501 0.833
La 0.671 0.499 0.167
La 0.831 0.750 0.830
Nd 0.000 0.000 0.500
Nd 0.169 0.751 0.169
Nd 0.831 0.249 0.831
Y 0.000 0.500 0.500
Y 0.333 0.001 0.830
Y 0.498 0.752 0.500
Y 0.502 0.248 0.500
Y 0.667 0.999 0.170


2.
Na3Nd2PuSe6: relaxed, GGA-PBE.

magnetization: 0.4167 μB per atom
DOS at the Fermi energy: 13.0 states/eV/f.u.
E_form (uncorrected): -1576 meV per atom

a b c (Å): 7.398 7.398 7.402
angles (deg): 99.59 99.59 119.99
Fractional positions:
Na 0.000 0.000 0.000
Na 0.333 0.667 0.000
Na 0.667 0.333 0.000
Nd 0.167 0.833 0.500
Nd 0.833 0.167 0.500
Pu 0.500 0.500 0.500
Se 0.093 0.422 0.265
Se 0.249 0.249 0.734
Se 0.422 0.093 0.265
Se 0.578 0.907 0.735
Se 0.751 0.751 0.266
Se 0.907 0.578 0.735


no.,final energy (eV per atom)
1,-5.51
2,-5.64